No. 1
Bi5PbAu4: relaxed, PBE.

a b c (Å): 8.409 8.409 7.274
angles (deg): 96.00 96.00 33.61
Sites, in units of the cell vectors:
Bi1 0.000 0.000 0.000
Bi2 0.330 0.330 0.502
Bi3 0.340 0.340 0.032
Bi4 0.660 0.660 0.968
Bi5 0.670 0.670 0.498
Pb1 0.000 0.000 0.500
Au1 0.183 0.183 0.738
Au2 0.480 0.480 0.758
Au3 0.520 0.520 0.242
Au4 0.817 0.817 0.262

Computed properties:
Symmetry = No. 12
DOS at the Fermi energy = 0.39 states/eV/atom
Crystal system = monoclinic
DFT formation energy = -0.12 eV per formula unit
Magnetization = 0.00 μB/cell

No. 2
CeSm2DyS4: relaxed, PBE.

a b c (Å): 6.899 3.972 6.928
angles (deg): 90.00 109.31 90.00
Sites, in units of the cell vectors:
Ce1 0.000 0.000 0.000
Sm1 0.500 0.000 0.500
Sm2 0.500 0.500 0.000
Dy1 0.000 0.500 0.500
S1 0.244 0.000 0.743
S2 0.248 0.500 0.254
S3 0.752 0.500 0.746
S4 0.756 0.000 0.257

Computed properties:
Symmetry = No. 10
DOS at the Fermi energy = 0.93 states/eV/atom
Crystal system = monoclinic
Raw formation energy = -46.702 kcal/mol of atoms
Magnetization = 0.68 μB/cell

No. 3
HoMn2Si3: relaxed, PBE.

a b c (Å): 5.979 5.979 5.119
angles (deg): 90.00 90.00 76.28
Sites, in units of the cell vectors:
Ho1 0.165 0.835 0.750
Ho2 0.835 0.165 0.250
Mn1 0.296 0.296 0.000
Mn2 0.296 0.296 0.500
Mn3 0.704 0.704 0.000
Mn4 0.704 0.704 0.500
Si1 0.035 0.600 0.250
Si2 0.400 0.965 0.250
Si3 0.441 0.559 0.250
Si4 0.559 0.441 0.750
Si5 0.600 0.035 0.750
Si6 0.965 0.400 0.750

Computed properties:
Symmetry = No. 63
DOS at the Fermi energy = 0.63 states/eV/atom
Crystal system = orthorhombic
Raw formation energy = -11.975 kcal/mol of atoms
Magnetization = 3.68 μB/cell

No. 4
ZnTePS: relaxed, PBE.

a b c (Å): 3.699 4.932 6.953
angles (deg): 98.07 104.77 111.98
Sites, in units of the cell vectors:
Zn1 0.000 0.000 0.000
Te1 0.407 0.507 0.321
P1 0.337 0.674 0.000
S1 0.027 0.287 0.757

Computed properties:
Symmetry = No. 1
DOS at the Fermi energy = 0.27 states/eV/atom
Crystal system = triclinic
Raw formation energy = -3.223 kcal/mol of atoms
Magnetization = 0.00 μB/cell

No. 5
PaCdTc2: relaxed, PBE.

a b c (Å): 4.516 4.516 3.598
angles (deg): 90.00 90.00 90.00
Sites, in units of the cell vectors:
Pa1 0.000 0.000 0.000
Cd1 0.500 0.500 0.000
Tc1 0.000 0.500 0.500
Tc2 0.500 0.000 0.500

Computed properties:
Symmetry = No. 123
DOS at the Fermi energy = 1.35 states/eV/atom
Crystal system = tetragonal
DFT formation energy = 0.00 eV per formula unit
Magnetization = 0.00 μB/cell

No. 6
Ac12TlIn6: relaxed, PBE.

a b c (Å): 9.814 9.814 9.814
angles (deg): 107.78 107.78 107.78
Sites, in units of the cell vectors:
Ac1 0.018 0.882 0.314
Ac2 0.103 0.348 0.451
Ac3 0.118 0.686 0.982
Ac4 0.314 0.018 0.882
Ac5 0.348 0.451 0.103
Ac6 0.451 0.103 0.348
Ac7 0.549 0.897 0.652
Ac8 0.652 0.549 0.897
Ac9 0.686 0.982 0.118
Ac10 0.882 0.314 0.018
Ac11 0.897 0.652 0.549
Ac12 0.982 0.118 0.686
Tl1 0.000 0.000 0.000
In1 0.197 0.646 0.338
In2 0.338 0.197 0.646
In3 0.354 0.662 0.803
In4 0.646 0.338 0.197
In5 0.662 0.803 0.354
In6 0.803 0.354 0.662

Computed properties:
Symmetry = No. 148
DOS at the Fermi energy = 1.21 states/eV/atom
Crystal system = trigonal
DFT formation energy = -2.17 eV per formula unit
Magnetization = 0.00 μB/cell

No. 7
Ge2S2O: relaxed, PBE.

a b c (Å): 6.972 6.972 3.547
angles (deg): 90.00 90.00 90.00
Sites, in units of the cell vectors:
Ge1 0.158 0.342 0.000
Ge2 0.342 0.842 0.000
Ge3 0.658 0.158 0.000
Ge4 0.842 0.658 0.000
S1 0.177 0.677 0.500
S2 0.323 0.177 0.500
S3 0.677 0.823 0.500
S4 0.823 0.323 0.500
O1 0.000 0.000 0.500
O2 0.500 0.500 0.500

Computed properties:
Symmetry = No. 127
DOS at the Fermi energy = 0.04 states/eV/atom
Crystal system = tetragonal
Raw formation energy = 7.158 kcal/mol of atoms
Magnetization = 0.00 μB/cell